BeCu2HPd: optimized geometry, PBE.

Lattice parameters (Å, degrees): 3.569 3.569 3.945 90.00 90.00 90.00
Element x y z (fractional)
Pd: 0.500 0.500 0.500
H: 0.000 0.000 0.000
Cu: 0.000 0.500 0.000
Cu: 0.500 0.000 0.000
Be: 0.000 0.000 0.500

Results
electronic total energy: -4.1275 eV/atom
M_tot: 0.0 μB per cell
space-group type: P4/mmm, No. 123

ScFeIrPb2: optimized geometry, PBE.

Lattice parameters (Å, degrees): 5.243 5.001 5.243 90.00 90.00 90.00
Site moments in Bohr magnetons follow the coordinates.
Element x y z (fractional)
Pb: 0.000 0.000 0.500  -0.02
Pb: 0.500 0.000 0.000  -0.02
Sc: 0.000 0.500 0.000  -0.15
Ir: 0.000 0.000 0.000  -0.05
Fe: 0.500 0.500 0.500  3.14

Results
electronic total energy: -5.5773 eV/atom
M_tot: 2.8 μB per cell
formation energy: 0.637 eV/atom
space-group type: P4/mmm, No. 123

LiAgSe2: optimized geometry, PBE.

Lattice parameters (Å, degrees): 3.111 3.111 7.877 90.00 90.00 90.30
Element x y z (fractional)
Se: 0.000 0.000 0.511
Se: 0.000 0.000 0.989
Ag: 0.500 0.500 0.250
Li: 0.500 0.500 0.750

Results
electronic total energy: -3.1874 eV/atom
M_tot: 0.0 μB per cell
energy relative to the elements, uncorrected: -0.254 eV per atom
offset from the most stable computed form: 175 meV per atom
space-group type: Cmmm, No. 65

BaTa2Au: optimized geometry, PBE.

Lattice parameters (Å, degrees): 5.039 3.364 6.275 79.60 90.00 90.00
Element x y z (fractional)
Ta: 0.000 0.072 0.089
Ta: 0.000 0.428 0.411
Ba: 0.500 0.750 0.750
Au: 0.500 0.250 0.250

Results
electronic total energy: -6.5079 eV/atom
M_tot: 0.0 μB per cell
formation energy: 0.718 eV/atom
offset from the most stable computed form: 417 meV per atom
space-group type: P2/m, No. 10

CrRh: optimized geometry, PBE.

Lattice parameters (Å, degrees): 2.657 4.269 4.582 90.00 90.00 90.00
Element x y z (fractional)
Rh: 0.000 0.500 0.321
Rh: 0.500 0.000 0.513
Cr: 0.500 0.500 0.825
Cr: 0.000 0.000 0.008

Results
electronic total energy: -8.4635 eV/atom
M_tot: 0.0 μB per cell
formation energy: 0.024 eV/atom
space-group type: Pmmn, No. 59

Ta2Co2Os: optimized geometry, PBE.

Lattice parameters (Å, degrees): 6.692 6.692 3.167 90.00 90.00 90.00
Element x y z (fractional)
Ta: 0.819 0.319 0.500
Ta: 0.181 0.681 0.500
Ta: 0.319 0.181 0.500
Ta: 0.681 0.819 0.500
Co: 0.878 0.622 0.000
Co: 0.622 0.122 0.000
Co: 0.122 0.378 0.000
Co: 0.378 0.878 0.000
Os: 0.000 0.000 0.000
Os: 0.500 0.500 0.000

Results
electronic total energy: -10.0188 eV/atom
M_tot: 0.0 μB per cell
formation energy: -0.189 eV/atom
space-group type: P4/mbm, No. 127

NdAgAs2Pd5: optimized geometry, PBE.

Lattice parameters (Å, degrees): 4.635 4.635 7.857 90.00 90.00 90.00
Element x y z (fractional)
As: 0.500 0.500 0.159
As: 0.500 0.500 0.841
Pd: 0.500 0.500 0.500
Pd: 0.500 0.000 0.260
Pd: 0.000 0.500 0.260
Pd: 0.500 0.000 0.740
Pd: 0.000 0.500 0.740
Nd: 0.000 0.000 0.500
Ag: 0.000 0.000 0.000

Results
electronic total energy: -5.2095 eV/atom
M_tot: 0.0 μB per cell
formation energy: -0.445 eV/atom
space-group type: P4/mmm, No. 123

KMg2CoSi: optimized geometry, PBE.

Lattice parameters (Å, degrees): 4.999 4.999 4.396 90.00 90.00 90.00
Element x y z (fractional)
Mg: 0.000 0.500 0.000
Mg: 0.500 0.000 0.000
K: 0.500 0.500 0.500
Co: 0.000 0.000 0.000
Si: 0.000 0.000 0.500

Results
electronic total energy: -3.3745 eV/atom
M_tot: 0.0 μB per cell
energy relative to the elements, uncorrected: -0.011 eV per atom
space-group type: P4/mmm, No. 123

HgSb2Br: optimized geometry, PBE.

Lattice parameters (Å, degrees): 4.544 4.507 6.293 76.22 90.00 90.00
Element x y z (fractional)
Sb: 0.000 0.984 0.933
Sb: 0.000 0.516 0.567
Br: 0.500 0.250 0.250
Hg: 0.500 0.750 0.750

Results
electronic total energy: -2.6099 eV/atom
M_tot: 0.0 μB per cell
energy relative to the elements, uncorrected: -0.055 eV per atom
offset from the most stable computed form: 65 meV per atom
space-group type: P2/m, No. 10

ZrSnBrO2: optimized geometry, PBE.

Lattice parameters (Å, degrees): 4.222 5.599 4.222 90.00 90.00 90.00
Element x y z (fractional)
O: 0.000 0.000 0.500
O: 0.500 0.000 0.000
Br: 0.000 0.500 0.000
Sn: 0.500 0.500 0.500
Zr: 0.000 0.000 0.000

Results
electronic total energy: -6.2616 eV/atom
M_tot: 0.0 μB per cell
energy relative to the elements, uncorrected: -1.434 eV per atom
space-group type: P4/mmm, No. 123

Er5Os2: optimized geometry, PBE.

Lattice parameters (Å, degrees): 6.304 7.333 8.330 96.98 112.23 90.00
Element x y z (fractional)
Er: 0.975 0.917 0.182
Er: 0.795 0.319 0.436
Er: 0.580 0.250 0.000
Er: 0.207 0.417 0.182
Er: 0.358 0.181 0.564
Er: 0.642 0.819 0.436
Er: 0.420 0.750 0.000
Er: 0.025 0.083 0.818
Er: 0.205 0.681 0.564
Er: 0.793 0.583 0.818
Os: 0.603 0.921 0.781
Os: 0.397 0.079 0.219
Os: 0.177 0.421 0.781
Os: 0.823 0.579 0.219

Results
electronic total energy: -6.7798 eV/atom
M_tot: 0.0 μB per cell
formation energy: -0.312 eV/atom
space-group type: C2/c, No. 15

CaFeAs2: optimized geometry, PBE.

Lattice parameters (Å, degrees): 3.940 4.019 5.431 89.94 90.00 90.00
Site moments in Bohr magnetons follow the coordinates.
Element x y z (fractional)
As: 0.000 0.751 0.004  -0.01
As: 0.000 0.749 0.496  -0.01
Fe: 0.500 0.750 0.750  2.30
Ca: 0.500 0.250 0.250  -0.01

Results
electronic total energy: -5.3099 eV/atom
M_tot: 2.3 μB per cell
formation energy: -0.369 eV/atom
offset from the most stable computed form: 101 meV per atom
space-group type: Pmmm, No. 47

Pr2ThPt3: optimized geometry, PBE.

Lattice parameters (Å, degrees): 5.970 8.401 7.326 106.61 114.05 90.00
Element x y z (fractional)
Pt: 0.842 0.920 0.681
Pt: 0.500 0.250 0.000
Pt: 0.160 0.580 0.319
Pt: 0.158 0.080 0.319
Pt: 0.840 0.420 0.681
Pt: 0.500 0.750 0.000
Pr: 0.666 0.083 0.333
Pr: 0.334 0.917 0.667
Pr: 0.332 0.417 0.667
Pr: 0.668 0.583 0.333
Th: 0.001 0.250 0.000
Th: 0.999 0.750 0.000

Results
electronic total energy: -6.9638 eV/atom
M_tot: 0.0 μB per cell
formation energy: -1.114 eV/atom
offset from the most stable computed form: 8 meV per atom
space-group type: C2/c, No. 15

Sc3FeRu4: optimized geometry, PBE.

Lattice parameters (Å, degrees): 3.151 3.151 12.678 90.00 90.00 90.00
Site moments in Bohr magnetons follow the coordinates.
Element x y z (fractional)
Ru: 0.000 0.000 0.370  -0.02
Ru: 0.000 0.000 0.109  0.24
Ru: 0.000 0.000 0.891  0.24
Ru: 0.000 0.000 0.630  -0.02
Fe: 0.500 0.500 0.000  2.76
Sc: 0.500 0.500 0.755  -0.01
Sc: 0.500 0.500 0.500  -0.01
Sc: 0.500 0.500 0.245  -0.01

Results
electronic total energy: -8.4082 eV/atom
M_tot: 3.1 μB per cell
formation energy: -0.338 eV/atom
space-group type: P4/mmm, No. 123

NdErH: optimized geometry, PBE.

Lattice parameters (Å, degrees): 5.879 3.358 6.943 103.99 90.60 90.00
Element x y z (fractional)
H: 0.589 0.431 0.862
H: 0.411 0.569 0.138
Er: 0.269 0.933 0.866
Er: 0.731 0.067 0.134
Nd: 0.240 0.190 0.379
Nd: 0.760 0.810 0.621

Results
electronic total energy: -4.2560 eV/atom
M_tot: 0.0 μB per cell
offset from the most stable computed form: 185 meV per atom
space-group type: C2/m, No. 12

UPd7Pt2: optimized geometry, PBE.

Lattice parameters (Å, degrees): 4.838 6.198 6.198 85.07 82.62 82.62
Element x y z (fractional)
Pt: 0.500 0.834 0.166
Pt: 0.500 0.166 0.834
Pd: 0.757 0.083 0.411
Pd: 0.000 0.662 0.338
Pd: 0.500 0.500 0.500
Pd: 0.243 0.589 0.917
Pd: 0.000 0.338 0.662
Pd: 0.243 0.917 0.589
Pd: 0.757 0.411 0.083
U: 0.000 0.000 0.000

Results
electronic total energy: -6.0889 eV/atom
M_tot: 0.0 μB per cell
formation energy: -0.117 eV/atom
space-group type: C2/m, No. 12

DyP: optimized geometry, PBE.

Lattice parameters (Å, degrees): 3.468 3.468 3.468 90.00 90.00 90.00
Element x y z (fractional)
P: 0.500 0.500 0.500
Dy: 0.000 0.000 0.000

Results
electronic total energy: -6.0668 eV/atom
M_tot: 0.0 μB per cell
formation energy: -1.061 eV/atom
space-group type: Pm-3m, No. 221

SrMgMnGa2: optimized geometry, PBE.

Lattice parameters (Å, degrees): 4.746 4.746 4.935 90.00 90.00 90.00
Site moments in Bohr magnetons follow the coordinates.
Element x y z (fractional)
Ga: 0.500 0.000 0.000  -0.06
Ga: 0.000 0.500 0.000  -0.06
Mn: 0.000 0.000 0.000  1.10
Mg: 0.000 0.000 0.500  -0.01
Sr: 0.500 0.500 0.500  -0.05

Results
electronic total energy: -3.8071 eV/atom
M_tot: 0.7 μB per cell
formation energy: -0.107 eV/atom
space-group type: P4/mmm, No. 123

Pr2FeSn4: optimized geometry, PBE.

Lattice parameters (Å, degrees): 8.795 8.795 4.619 90.00 90.00 149.36
Site moments in Bohr magnetons follow the coordinates.
Element x y z (fractional)
Pr: 0.897 0.103 0.000  0.00
Pr: 0.102 0.898 0.500  0.00
Sn: 0.244 0.756 0.000  -0.01
Sn: 0.450 0.550 0.500  -0.02
Sn: 0.742 0.258 0.500  -0.02
Sn: 0.567 0.433 0.000  -0.01
Fe: 0.301 0.699 0.500  1.65

Results
electronic total energy: -5.3653 eV/atom
M_tot: 1.7 μB per cell
formation energy: -0.503 eV/atom
space-group type: Amm2, No. 38

BeTl2Pb: optimized geometry, PBE.

Lattice parameters (Å, degrees): 3.474 3.474 8.853 90.00 90.00 107.38
Element x y z (fractional)
Tl: 0.000 0.000 0.446
Tl: 0.000 0.000 0.054
Pb: 0.500 0.500 0.750
Be: 0.500 0.500 0.250

Results
electronic total energy: -2.6085 eV/atom
M_tot: 0.0 μB per cell
formation energy: 0.433 eV/atom
offset from the most stable computed form: 93 meV per atom
space-group type: Cmmm, No. 65

Li3AcGa: optimized geometry, PBE.

Lattice parameters (Å, degrees): 4.630 8.605 12.080 90.00 90.00 90.00
Element x y z (fractional)
Ac: 0.750 0.309 0.492
Ac: 0.250 0.691 0.508
Ac: 0.250 0.191 0.992
Ac: 0.750 0.809 0.008
Ga: 0.750 0.880 0.374
Ga: 0.250 0.620 0.874
Ga: 0.250 0.120 0.626
Ga: 0.750 0.380 0.126
Li: 0.750 0.106 0.227
Li: 0.250 0.358 0.264
Li: 0.250 0.548 0.093
Li: 0.250 0.048 0.407
Li: 0.250 0.858 0.236
Li: 0.250 0.394 0.727
Li: 0.750 0.606 0.273
Li: 0.750 0.452 0.907
Li: 0.250 0.894 0.773
Li: 0.750 0.142 0.764
Li: 0.750 0.642 0.736
Li: 0.750 0.952 0.593

Results
electronic total energy: -2.7006 eV/atom
M_tot: 0.0 μB per cell
formation energy: -0.125 eV/atom
offset from the most stable computed form: 0 meV per atom
space-group type: Pnma, No. 62

K2RbVH6: optimized geometry, PBE.

Lattice parameters (Å, degrees): 5.971 6.677 8.851 90.00 90.00 90.00
Site moments in Bohr magnetons follow the coordinates.
Element x y z (fractional)
K: 0.000 0.322 0.275  0.01
K: 0.500 0.678 0.225  0.01
K: 0.500 0.678 0.775  0.01
K: 0.000 0.322 0.725  0.01
H: 0.000 0.716 0.205  -0.01
H: 0.256 0.846 0.000  -0.01
H: 0.184 0.495 0.000  -0.02
H: 0.500 0.284 0.295  -0.01
H: 0.816 0.495 0.000  -0.02
H: 0.744 0.846 0.000  -0.01
H: 0.756 0.154 0.500  -0.01
H: 0.684 0.505 0.500  -0.02
H: 0.000 0.716 0.795  -0.01
H: 0.244 0.154 0.500  -0.01
H: 0.316 0.505 0.500  -0.02
H: 0.500 0.284 0.705  -0.01
Rb: 0.500 0.182 0.000  -0.01
Rb: 0.000 0.818 0.500  -0.01
V: 0.500 0.291 0.500  1.77
V: 0.000 0.709 0.000  1.77

Results
electronic total energy: -3.3399 eV/atom
M_tot: 4.0 μB per cell
space-group type: Pmmn, No. 59

SmErNiPd: optimized geometry, PBE.

Lattice parameters (Å, degrees): 3.796 4.432 5.502 90.00 110.18 90.00
Element x y z (fractional)
Pd: 0.577 0.500 0.154
Sm: 0.142 0.000 0.284
Ni: 0.418 0.000 0.836
Er: 0.863 0.500 0.726

Results
electronic total energy: -5.7020 eV/atom
M_tot: 0.0 μB per cell
formation energy: -0.638 eV/atom
space-group type: Amm2, No. 38

TcGeSb2I: optimized geometry, PBE.

Lattice parameters (Å, degrees): 5.056 5.056 5.824 90.00 90.00 90.00
Element x y z (fractional)
Tc: 0.000 0.000 0.000
Sb: 0.000 0.500 0.000
Sb: 0.500 0.000 0.000
Ge: 0.500 0.500 0.500
I: 0.000 0.000 0.500

Results
electronic total energy: -4.2857 eV/atom
M_tot: 0.0 μB per cell
energy relative to the elements, uncorrected: 0.670 eV per atom
offset from the most stable computed form: 0 meV per atom
space-group type: P4/mmm, No. 123